Record 1
Rb3NaZn2F9: optimized geometry, PBE-GGA.

```
Rb3NaZn2F9
1.0
5.996 0.000 0.000
-2.998 5.193 0.000
0.000 0.000 7.405
F Rb Na Zn
9 3 1 2
direct
0.500 0.500 0.000
0.176 0.824 0.312
0.352 0.176 0.688
0.176 0.352 0.312
0.500 0.000 0.000
0.648 0.824 0.312
0.824 0.176 0.688
0.000 0.500 0.000
0.824 0.648 0.688
0.333 0.667 0.656
0.000 0.000 0.000
0.667 0.333 0.344
0.000 0.000 0.500
0.333 0.667 0.161
0.667 0.333 0.839
```

Results
magnetic moment = 1.033 Bohr magnetons per cell
density = 4.19 g/cm3
symmetry = P-3m1

***

Record 2
Rb2NaZnF: optimized geometry, PBE-GGA.

```
Rb2NaZnF
1.0
-4.521 2.025 -3.220
-3.642 -0.863 4.571
0.896 4.481 1.560
Na Rb F Zn
1 2 1 1
direct
0.000 0.000 0.500
0.500 0.000 0.000
0.000 0.500 0.000
0.000 0.000 0.000
0.500 0.500 0.500
```

Results
magnetic moment = 0.000 Bohr magnetons per cell
density = 2.74 g/cm3
symmetry = P4/mmm

***

Record 3
RbNaZnF6: optimized geometry, PBE-GGA.

```
RbNaZnF6
1.0
5.779 0.003 0.001
2.892 5.003 -0.001
0.001 -0.002 5.704
Na F Zn Rb
1 6 1 1
direct
0.666 0.667 0.500
0.597 0.353 0.692
0.353 0.597 0.308
0.598 0.049 0.309
0.049 0.598 0.691
0.352 0.050 0.692
0.050 0.353 0.308
0.333 0.333 0.500
0.000 0.000 0.000
```

Results
magnetic moment = 2.031 Bohr magnetons per cell
density = 2.90 g/cm3
symmetry = P312

***

Record 4
RbNa4Zn3F12: optimized geometry, PBE-GGA.

```
RbNa4Zn3F12
1.0
-6.889 1.980 -0.511
2.339 -2.214 -6.424
0.606 -5.360 4.748
Zn Rb Na F
3 1 4 12
direct
0.000 0.500 0.500
0.500 0.500 0.000
0.500 0.000 0.500
0.000 0.000 0.000
0.500 0.500 0.500
0.500 0.000 0.000
0.000 0.000 0.500
0.000 0.500 0.000
0.171 0.333 0.838
0.667 0.838 0.505
0.333 0.162 0.495
0.829 0.667 0.162
0.505 0.667 0.838
0.333 0.838 0.171
0.162 0.829 0.667
0.162 0.495 0.333
0.838 0.505 0.667
0.495 0.333 0.162
0.838 0.171 0.333
0.667 0.162 0.829
```

Results
magnetic moment = 1.168 Bohr magnetons per cell
density = 3.50 g/cm3
symmetry = Im-3

***

Record order is preserved below.
E_tot: -4.039, -2.164, -3.640, -4.029 eV per atom